[1]
La2CdCl8: relaxed, PBE-GGA.

Cell and atoms, written as POSCAR:
```
La2CdCl8
1.0
10.426 -2.043 0.000
10.426 2.043 0.000
-1.183 0.000 8.022
La Cd Cl
2 1 8
Cartesian
2.878 0.000 2.638
16.791 0.000 5.384
10.426 0.000 0.000
0.001 0.000 1.743
4.241 0.000 5.341
6.606 0.000 7.535
7.593 0.000 3.955
12.076 0.000 4.067
13.062 0.000 0.487
15.428 0.000 2.681
19.668 0.000 6.279
```

Computed properties:
Formation energy (no corrections) in eV per atom: -2.02
Space-group type: C2/m, No. 12
Raw total energy in eV per atom: -4.34



[2]
La4Cd2Cl: relaxed, PBE-GGA.

Cell and atoms, written as POSCAR:
```
La4Cd2Cl
1.0
-2.754 2.754 7.825
2.754 -2.754 7.825
2.754 2.754 -7.825
La Cd Cl
4 2 1
Cartesian
2.754 0.000 0.000
0.000 0.000 2.893
0.000 2.754 0.000
0.000 0.000 12.756
0.000 0.000 6.025
0.000 0.000 9.625
0.000 0.000 0.000
```

Computed properties:
Formation energy (no corrections) in eV per atom: -0.48
Space-group type: I4/mmm, No. 139
Polymorph energy (0 for the lowest one) in meV per atom: 124
Raw total energy in eV per atom: -3.82